Entry 1:
# HfCu2Pd, relaxed, DFT PBE-GGA
data_HfCu2Pd
_chemical_formula_sum 'Hf2 Cu4 Pd2'
_cell_length_a 4.598
_cell_length_b 5.457
_cell_length_c 4.797
_cell_angle_alpha 90.00
_cell_angle_beta 90.00
_cell_angle_gamma 90.00
_space_group_name_H-M_alt 'P m m n'
_space_group_IT_number 59
loop_
_space_group_symop_operation_xyz
'x,y,z'
'-x,-y,-z'
'-x+1/2,-y+1/2,z'
'x+1/2,y+1/2,-z'
'x+1/2,-y,-z'
'-x+1/2,y,z'
'-x,y+1/2,-z'
'x,-y+1/2,z'
loop_
_atom_site_label
_atom_site_fract_x
_atom_site_fract_y
_atom_site_fract_z
Hf1 0.250 0.250 0.148
Cu1 0.250 0.506 0.649
Pd1 0.250 0.750 0.167
# * Fermi-level density of states: 0.547 states/eV per atom
# * formation enthalpy at 0 K: -395 meV per atom
# * total DFT energy (no corrections): -49.84 eV per cell

Entry 2:
# Hf4CuPd, relaxed, DFT PBE-GGA
data_Hf4CuPd
_chemical_formula_sum 'Hf8 Cu2 Pd2'
_cell_length_a 14.571
_cell_length_b 3.201
_cell_length_c 5.449
_cell_angle_alpha 90.00
_cell_angle_beta 111.26
_cell_angle_gamma 90.00
_space_group_name_H-M_alt 'C 1 2/m 1'
_space_group_IT_number 12
loop_
_space_group_symop_operation_xyz
'x,y,z'
'-x,-y,-z'
'-x,y,-z'
'x,-y,z'
'x+1/2,y+1/2,z'
'-x+1/2,-y+1/2,-z'
'-x+1/2,y+1/2,-z'
'x+1/2,-y+1/2,z'
loop_
_atom_site_label
_atom_site_fract_x
_atom_site_fract_y
_atom_site_fract_z
Hf1 0.160 0.000 0.491
Hf2 0.160 0.500 0.998
Cu1 0.000 0.000 0.000
Pd1 0.000 0.500 0.500
# * Fermi-level density of states: 0.867 states/eV per atom
# * formation enthalpy at 0 K: -129 meV per atom
# * relative energy among the computed polymorphs: 211 meV per atom
# * total DFT energy (no corrections): -99.75 eV per cell

Entry 3:
# HfCuPd6, relaxed, DFT PBE-GGA
data_HfCuPd6
_chemical_formula_sum 'Hf1 Cu1 Pd6'
_cell_length_a 5.609
_cell_length_b 5.609
_cell_length_c 3.942
_cell_angle_alpha 90.00
_cell_angle_beta 90.00
_cell_angle_gamma 90.00
_space_group_name_H-M_alt 'P 4/m m m'
_space_group_IT_number 123
_space_group_name_Hall '-P 4 2'
loop_
_atom_site_label
_atom_site_fract_x
_atom_site_fract_y
_atom_site_fract_z
Hf1 0.000 0.000 0.000
Cu1 0.500 0.500 0.000
Pd1 0.000 0.500 0.000
Pd2 0.253 0.253 0.500
# * Fermi-level density of states: 0.937 states/eV per atom
# * formation enthalpy at 0 K: -482 meV per atom
# * relative energy among the computed polymorphs: 0 meV per atom
# * total DFT energy (no corrections): -49.07 eV per cell

Entry 4:
# Hf2Cu3Pd8, relaxed, DFT PBE-GGA
data_Hf2Cu3Pd8
_chemical_formula_sum 'Hf6 Cu9 Pd24'
_cell_length_a 5.2091
_cell_length_b 5.2091
_cell_length_c 28.1332
_cell_angle_alpha 90.00
_cell_angle_beta 90.00
_cell_angle_gamma 120.00
_space_group_name_H-M_alt 'R -3 m'
_space_group_IT_number 166
_space_group_name_Hall '-R 3 2"'
loop_
_atom_site_label
_atom_site_fract_x
_atom_site_fract_y
_atom_site_fract_z
Hf1 0.0000 0.0000 0.1295
Cu1 0.0000 0.0000 0.3088
Cu2 0.0000 0.0000 0.5000
Pd1 0.0000 0.0000 0.2196
Pd2 0.0017 0.5008 0.2806
# * Fermi-level density of states: 0.513 states/eV per atom
# * formation enthalpy at 0 K: -102 meV per atom
# * total DFT energy (no corrections): -225.20 eV per cell

What did the second record say?
# Hf4CuPd, relaxed, DFT PBE-GGA
data_Hf4CuPd
_chemical_formula_sum 'Hf8 Cu2 Pd2'
_cell_length_a 14.571
_cell_length_b 3.201
_cell_length_c 5.449
_cell_angle_alpha 90.00
_cell_angle_beta 111.26
_cell_angle_gamma 90.00
_space_group_name_H-M_alt 'C 1 2/m 1'
_space_group_IT_number 12
loop_
_space_group_symop_operation_xyz
'x,y,z'
'-x,-y,-z'
'-x,y,-z'
'x,-y,z'
'x+1/2,y+1/2,z'
'-x+1/2,-y+1/2,-z'
'-x+1/2,y+1/2,-z'
'x+1/2,-y+1/2,z'
loop_
_atom_site_label
_atom_site_fract_x
_atom_site_fract_y
_atom_site_fract_z
Hf1 0.160 0.000 0.491
Hf2 0.160 0.500 0.998
Cu1 0.000 0.000 0.000
Pd1 0.000 0.500 0.500
# * Fermi-level density of states: 0.867 states/eV per atom
# * formation enthalpy at 0 K: -129 meV per atom
# * relative energy among the computed polymorphs: 211 meV per atom
# * total DFT energy (no corrections): -99.75 eV per cell